Here is a geometry-optimized Cd7SbAu4 structure from the Alexandria database. Energies are from PBE.

Cell lengths 5.9511, 6.0159, 7.4751 Å; angles 89.21, 77.03, 89.65 degrees
Space group P-1 (No. 2)
Symmetry-distinct sites (fractional):
Cd (0.0000, 0.0000, 0.0000) [1 per cell]
Cd (0.1593, 0.1543, 0.3521) [2 per cell]
Cd (0.2564, 0.5254, 0.9896) [2 per cell]
Cd (0.4030, 0.6351, 0.3561) [2 per cell]
Sb (0.5000, 0.0000, 0.0000) [1 per cell]
Au (0.0891, 0.4377, 0.6732) [2 per cell]
Au (0.3125, 0.9613, 0.6563) [2 per cell]

Its spin magnetization is 0.00 μB per formula unit. Its raw formation energy is -86.6 meV per atom.

=====

Here is a geometry-optimized CdSbAu2 structure from the Alexandria database. Energies are from PBE.

Cell lengths 4.2672, 4.2672, 9.2200 Å; angles 90.00, 90.00, 90.00 degrees
Space group I-4m2 (No. 119)
Symmetry-distinct sites (fractional):
Cd (0.0000, 0.0000, 0.0000) [2 per cell]
Sb (0.0000, 0.5000, 0.7500) [2 per cell]
Au (0.0000, 0.0000, 0.5000) [2 per cell]
Au (0.0000, 0.5000, 0.2500) [2 per cell]

Its spin magnetization is 0.00 μB per formula unit. Its raw formation energy is 8.3 meV per atom. The energy above the most stable polymorph in this dataset is 101 meV per atom.

=====

Here is a geometry-optimized Cd6SbAu12 structure from the Alexandria database. Energies are from PBE.

Cell lengths 12.6103, 12.6103, 8.7789 Å; angles 90.00, 90.00, 120.00 degrees
Space group R-3m (No. 166, hexagonal axes)
Symmetry-distinct sites (fractional):
Cd (0.0748, 0.5374, 0.2302) [18 per cell]
Sb (0.0000, 0.0000, 0.0000) [3 per cell]
Au (0.0000, 0.3863, 0.5000) [18 per cell]
Au (0.0810, 0.1621, 0.2518) [18 per cell]

Its spin magnetization is 0.00 μB per formula unit. Its raw formation energy is -33.9 meV per atom.

=====

Here is a geometry-optimized CdSbAu2 structure from the Alexandria database. Energies are from PBE.

Cell lengths 3.7753, 3.7753, 22.8026 Å; angles 90.00, 90.00, 120.00 degrees
Space group R3m (No. 160, hexagonal axes)
Symmetry-distinct sites (fractional):
Cd (0.0000, 0.0000, 0.0000) [3 per cell]
Sb (0.0000, 0.0000, 0.2312) [3 per cell]
Au (0.0000, 0.0000, 0.4889) [3 per cell]
Au (0.0000, 0.0000, 0.7448) [3 per cell]

Its spin magnetization is 0.00 μB per formula unit. Its raw formation energy is 35.7 meV per atom. The energy above the most stable polymorph in this dataset is 128 meV per atom.